Entry 1:
Material: PaMnAsO5
Method: DFT, GGA+U
State: optimized geometry

Output
- V (Å³/cell) = 540.8
- raw total energy (eV per atom) = -8.023

```
data_PaMnAsO5
_chemical_formula_sum 'Pa4 Mn4 As4 O20'
_space_group_name_H-M_alt 'C 1 2/c 1'
_space_group_IT_number 15
_space_group_name_Hall '-C 2yc'
_cell_length_a 7.329
_cell_length_b 10.448
_cell_length_c 7.451
_cell_angle_alpha 90.00
_cell_angle_beta 108.60
_cell_angle_gamma 90.00
loop_
_atom_site_label
_atom_site_type_symbol
_atom_site_fract_x
_atom_site_fract_y
_atom_site_fract_z
_atom_site_occupancy
Pa1 Pa 0.250 0.250 0.000 1
Mn1 Mn 0.000 0.006 0.250 1
As1 As 0.000 0.482 0.250 1
O1 O 0.000 0.197 0.750 1
O2 O 0.052 0.368 0.098 1
O3 O 0.179 0.074 0.112 1
```



Entry 2:
Material: PaMn2AsO6
Method: DFT, GGA+U
State: optimized geometry

Output
- V (Å³/cell) = 167.9
- raw total energy (eV per atom) = -7.708

```
data_PaMn2AsO6
_chemical_formula_sum 'Pa1 Mn2 As1 O6'
_space_group_name_H-M_alt 'P 4 m m'
_space_group_IT_number 99
_space_group_name_Hall 'P 4 -2'
_cell_length_a 6.129
_cell_length_b 6.129
_cell_length_c 4.468
_cell_angle_alpha 90.00
_cell_angle_beta 90.00
_cell_angle_gamma 90.00
loop_
_atom_site_label
_atom_site_type_symbol
_atom_site_fract_x
_atom_site_fract_y
_atom_site_fract_z
_atom_site_occupancy
Pa1 Pa 0.000 0.000 0.000 1
Mn1 Mn 0.000 0.500 0.216 1
As1 As 0.500 0.500 0.972 1
O1 O 0.000 0.000 0.527 1
O2 O 0.246 0.246 0.083 1
O3 O 0.500 0.500 0.594 1
```



Entry 3:
Material: Mn2AsPbO8
Method: DFT, GGA+U
State: optimized geometry

Output
- V (Å³/cell) = 270.2
- raw total energy (eV per atom) = -6.384

```
data_Mn2AsPbO8
_chemical_formula_sum 'Mn4 As2 Pb2 O16'
_space_group_name_H-M_alt 'C m m m'
_space_group_IT_number 65
_space_group_name_Hall '-C 2 2'
_cell_length_a 6.539
_cell_length_b 6.679
_cell_length_c 6.186
_cell_angle_alpha 90.00
_cell_angle_beta 90.00
_cell_angle_gamma 90.00
loop_
_atom_site_label
_atom_site_type_symbol
_atom_site_fract_x
_atom_site_fract_y
_atom_site_fract_z
_atom_site_occupancy
Mn1 Mn 0.000 0.000 0.240 1
As1 As 0.000 0.500 0.000 1
Pb1 Pb 0.000 0.500 0.500 1
O1 O 0.000 0.308 0.217 1
O2 O 0.175 0.000 0.500 1
O3 O 0.201 0.000 0.000 1
```



Entry 4:
Material: MnAsPb2O4
Method: DFT, GGA+U
State: optimized geometry

Output
- V (Å³/cell) = 494.6
- raw total energy (eV per atom) = -5.779

```
data_MnAsPb2O4
_chemical_formula_sum 'Mn4 As4 Pb8 O16'
_space_group_name_H-M_alt 'C 1 2/c 1'
_space_group_IT_number 15
_space_group_name_Hall '-C 2yc'
_cell_length_a 9.505
_cell_length_b 9.236
_cell_length_c 6.748
_cell_angle_alpha 90.00
_cell_angle_beta 123.39
_cell_angle_gamma 90.00
loop_
_atom_site_label
_atom_site_type_symbol
_atom_site_fract_x
_atom_site_fract_y
_atom_site_fract_z
_atom_site_occupancy
Mn1 Mn 0.000 0.000 0.000 1
As1 As 0.250 0.250 0.000 1
Pb1 Pb 0.000 0.500 0.000 1
Pb2 Pb 0.250 0.250 0.500 1
O1 O 0.050 0.230 0.047 1
O2 O 0.189 0.029 0.875 1
```



Entry 5:
Material: MnAs2PbO6
Method: DFT, GGA+U
State: optimized geometry

Output
- V (Å³/cell) = 621.0
- raw total energy (eV per atom) = -6.252

```
data_MnAs2PbO6
_chemical_formula_sum 'Mn4 As8 Pb4 O24'
_space_group_name_H-M_alt 'C 1 2/c 1'
_space_group_IT_number 15
_space_group_name_Hall '-C 2yc'
_cell_length_a 11.550
_cell_length_b 8.792
_cell_length_c 7.234
_cell_angle_alpha 90.00
_cell_angle_beta 122.30
_cell_angle_gamma 90.00
loop_
_atom_site_label
_atom_site_type_symbol
_atom_site_fract_x
_atom_site_fract_y
_atom_site_fract_z
_atom_site_occupancy
Mn1 Mn 0.000 0.224 0.250 1
As1 As 0.207 0.461 0.682 1
Pb1 Pb 0.000 0.188 0.750 1
O1 O 0.117 0.290 0.565 1
O2 O 0.118 0.086 0.181 1
O3 O 0.174 0.436 0.940 1
```



Entry 6:
Material: MnAsPb2O5
Method: DFT, GGA+U
State: optimized geometry

Output
- V (Å³/cell) = 557.3
- raw total energy (eV per atom) = -6.044

```
data_MnAsPb2O5
_chemical_formula_sum 'Mn4 As4 Pb8 O20'
_space_group_name_H-M_alt 'C m c 21'
_space_group_IT_number 36
_space_group_name_Hall 'C 2c -2'
_cell_length_a 3.506
_cell_length_b 15.386
_cell_length_c 10.332
_cell_angle_alpha 90.00
_cell_angle_beta 90.00
_cell_angle_gamma 90.00
loop_
_atom_site_label
_atom_site_type_symbol
_atom_site_fract_x
_atom_site_fract_y
_atom_site_fract_z
_atom_site_occupancy
Mn1 Mn 0.000 0.209 0.000 1
As1 As 0.000 0.454 0.441 1
Pb1 Pb 0.000 0.127 0.278 1
Pb2 Pb 0.000 0.131 0.642 1
O1 O 0.000 0.084 0.031 1
O2 O 0.000 0.281 0.634 1
O3 O 0.000 0.333 0.978 1
O4 O 0.000 0.342 0.377 1
O5 O 0.000 0.496 0.780 1
```